{
  "formula": "Re2RhCl",
  "functional": "GGA-PBE",
  "state": "optimized geometry",
  "raw_formation_energy_ev_per_atom": 0.536,
  "final_energy_ev_per_cell": -31.95,
  "de_polymorph_mev_per_atom": 266,
  "lattice_angstrom": [[1.414, -2.447, 0.000], [1.414, 2.447, 0.000], [0.000, 0.000, 8.960]],
  "species": ["Re", "Re", "Rh", "Cl"],
  "frac_coords": [[0.000, 0.000, 0.000], [0.500, 0.500, 0.249], [0.000, 0.000, 0.496], [0.500, 0.500, 0.758]]
}